1.
First-principles (PBE-GGA) data for a relaxed structure of LiLaCl2, as listed in the Alexandria database.

Lattice parameters (Å, degrees): 3.5819 3.5819 7.4253 90.00 90.00 90.00
Closest atoms and distances in Å follow each position.
Space group P4mm (No. 99)
Inequivalent atoms, fractional coordinates:
Li (0.0000, 0.0000, 0.0000)  5 Cl 2.54-2.55
La (0.5000, 0.5000, 0.5852)  5 Cl 2.84-3.11
Cl (0.0000, 0.0000, 0.3430)  1 Li 2.55
Cl (0.5000, 0.5000, 0.9678)  4 Li 2.54, 1 La 2.84

Results
Crystal system: tetragonal
Formation energy (no corrections), eV/atom: -1.531

2.
First-principles (PBE-GGA) data for a relaxed structure of La2InReO, as listed in the Alexandria database.

Lattice parameters (Å, degrees): 5.3178 5.3178 3.9854 90.00 90.00 90.00
Closest atoms and distances in Å follow each position.
Space group P4/mmm (No. 123)
Inequivalent atoms, fractional coordinates:
La (0.0000, 0.5000, 0.0000)  2 O 2.66
In (0.0000, 0.0000, 0.5000)  8 La 3.32
Re (0.5000, 0.5000, 0.5000)  2 O 1.99
O (0.5000, 0.5000, 0.0000)  2 Re 1.99

Results
Crystal system: tetragonal
Formation energy (no corrections), eV/atom: -0.811

3.
First-principles (PBE-GGA) data for a relaxed structure of CeDy2In2Hg2, as listed in the Alexandria database.

Lattice parameters (Å, degrees): 4.9830 4.9830 26.7297 90.00 90.00 120.00
Closest atoms and distances in Å follow each position.
Space group R-3m (No. 166, hexagonal axes)
Inequivalent atoms, fractional coordinates:
Ce (0.0000, 0.0000, 0.0000)  6 In 3.40, 2 Dy 3.51
Dy (0.0000, 0.0000, 0.1315)  3 Hg 3.04, 3 In 3.35
In (0.0000, 0.0000, 0.2659)  3 Hg 2.97
Hg (0.0000, 0.0000, 0.4284)  3 In 2.97, 3 Dy 3.04

Results
Crystal system: trigonal
Formation enthalpy at 0 K, eV/atom: -0.248

| no. | calculated density (g/cm³) |
| --- | --- |
| 1 | 3.778 |
| 2 | 8.764 |
| 3 | 9.498 |